Record 1
Computed, not measured: an optimized crystal structure of K2AgPt at the PBE level of DFT.

Results
Formation enthalpy at 0 K (eV/atom): 0.13
Energy above the most stable polymorph in this dataset (meV per atom): 112

a = 11.4147 Å, b = 11.4147 Å, c = 5.2996 Å
α = 90.00°, β = 90.00°, γ = 90.00°
Last column: nearest neighbours and their distance in Å.
Space group I-42d (No. 122)
Symmetry-distinct sites (fractional):
K  0.0800  0.7500  0.1250 (multiplicity 8)  2 Pt 3.07
Ag  0.0000  0.0000  0.5000 (multiplicity 4)  2 Pt 2.65
Pt  0.0000  0.0000  0.0000 (multiplicity 4)  2 Ag 2.65

Record 2
Computed, not measured: an optimized crystal structure of GaAsBr2N at the PBE level of DFT.

Results
Energy above the most stable polymorph in this dataset (meV per atom): 432

a = 5.2658 Å, b = 5.2658 Å, c = 5.1521 Å
α = 90.00°, β = 90.00°, γ = 90.00°
Last column: nearest neighbours and their distance in Å.
Space group P4/mmm (No. 123)
Symmetry-distinct sites (fractional):
Ga  0.0000  0.0000  0.0000 (multiplicity 1)  2 As 2.58, 4 Br 2.63
As  0.0000  0.0000  0.5000 (multiplicity 1)  2 Ga 2.58
Br  0.0000  0.5000  0.0000 (multiplicity 2)  2 Ga 2.63
N  0.5000  0.5000  0.5000 (multiplicity 1)  8 Br 3.68, 4 As 3.72

Record 3
Computed, not measured: an optimized crystal structure of Y2AsP at the PBE level of DFT.

Results
Formation enthalpy at 0 K (eV/atom): -1.14

a = 3.7087 Å, b = 4.3269 Å, c = 5.6969 Å
α = 90.00°, β = 90.00°, γ = 90.00°
Last column: nearest neighbours and their distance in Å.
Space group Pmmm (No. 47)
Symmetry-distinct sites (fractional):
Y  0.0000  0.0000  0.0000 (multiplicity 1)  4 P 2.85
Y  0.0000  0.5000  0.5000 (multiplicity 1)  4 As 2.85
As  0.5000  0.0000  0.5000 (multiplicity 1)  4 Y 2.85
P  0.5000  0.5000  0.0000 (multiplicity 1)  4 Y 2.85

Per-record electronic total energy, eV for the cell shown: -42.2, -14.0, -27.5